DFT (PBE-GGA) results for a relaxed NaSr2Pb crystal.

Cell and atoms, written as extended XYZ:
```
8
Lattice="-2.6969 2.6969 11.7341 2.6969 -2.6969 11.7341 2.6969 2.6969 -11.7341" Properties=species:S:1:pos:R:3 pbc="T T T"
Na 0.0000 0.0000 0.0000
Na 0.0000 2.6969 5.8671
Sr 1.3484 -1.2564 8.8006
Sr 1.4405 1.3484 2.9335
Sr 1.3484 3.9533 -2.9335
Sr 1.2564 1.3484 14.6677
Pb 2.6969 0.0000 5.8671
Pb 0.0000 0.0000 11.7341
```

Computed properties:
For the theoretical density, the calculation gives 3.94 g/cm³. The density of states at the Fermi level is 8.37 states/eV/cell. As for the final energy: -2.03 eV per atom.